Entry 1:
Material: CaPaCuGe
Method: DFT, PBE-GGA
State: relaxed

abc: 4.9812 4.9812 4.9812
angles: 60.00 60.00 60.00
Closest atoms and distances in Å follow each position.
Fractional positions:
Cu 0.7500 0.7500 0.7500  4 Pa 3.05, 4 Ca 3.05
Ge 0.2500 0.2500 0.2500  4 Ca 3.05, 4 Pa 3.05
Ca 0.5000 0.5000 0.5000  4 Cu 3.05, 4 Ge 3.05
Pa 0.0000 0.0000 0.0000  4 Ge 3.05, 4 Cu 3.05

Values from the calculation:
Total magnetization (μB/atom): 0.0015
Calculated formation energy (eV/atom): -0.11
Calculated volume (Å³ per atom): 21.85
VASP energy (eV per atom): -5.160

=====

Entry 2:
Material: Ca2Cu4Ge3Pd
Method: DFT, PBE-GGA
State: relaxed

abc: 4.1293 4.1293 10.3655
angles: 90.00 90.00 90.00
Closest atoms and distances in Å follow each position.
Fractional positions:
Ge 0.0000 0.5000 0.1288  5 Cu 2.38-2.46
Ge 0.5000 0.0000 0.8712  5 Cu 2.38-2.46
Ge 0.0000 0.0000 0.5000  4 Cu 2.53
Pd 0.5000 0.5000 0.5000  4 Cu 2.53
Cu 0.5000 0.0000 0.6418  3 Ge 2.38-2.53, 2 Pd 2.53
Cu 0.0000 0.0000 0.0000  4 Ge 2.46
Cu 0.5000 0.5000 0.0000  4 Ge 2.46
Cu 0.0000 0.5000 0.3582  3 Ge 2.38-2.53, 2 Pd 2.53
Ca 0.5000 0.0000 0.2452  8 Cu 3.15-3.27, 6 Ge 3.16-3.35, 2 Pd 3.35
Ca 0.0000 0.5000 0.7548  8 Cu 3.15-3.27, 6 Ge 3.16-3.35, 2 Pd 3.35

Values from the calculation:
Total magnetization (μB/atom): 0.0000
Calculated formation energy (eV/atom): -0.37
Calculated volume (Å³ per atom): 17.67
VASP energy (eV per atom): -4.309

=====

Entry 3:
Material: CaCuGePd
Method: DFT, PBE-GGA
State: relaxed

abc: 4.2977 3.5123 5.2840
angles: 109.41 90.00 90.00
Closest atoms and distances in Å follow each position.
Fractional positions:
Pd 0.0000 0.9047 0.8094  2 Ge 2.60
Ca 0.5000 0.2292 0.4583  3 Cu 2.67-2.91
Cu 0.5000 0.4968 0.9937  2 Ge 2.37
Ge 0.0000 0.5971 0.1942  2 Cu 2.37, 2 Pd 2.60

Values from the calculation:
Total magnetization (μB/atom): 0.0000
Calculated formation energy (eV/atom): -0.34
Calculated volume (Å³ per atom): 18.81
VASP energy (eV per atom): -4.312

=====

Entry 4:
Material: CaCuGe2Pd
Method: DFT, PBE-GGA
State: relaxed

abc: 4.2752 4.2752 5.9319
angles: 111.12 111.12 90.00
Closest atoms and distances in Å follow each position.
Fractional positions:
Cu 0.2500 0.7500 0.5000  4 Ge 2.50
Ge 0.3766 0.3766 0.7531  2 Pd 2.50, 2 Cu 2.50, 1 Ge 2.52
Ge 0.6234 0.6234 0.2469  2 Cu 2.50, 2 Pd 2.50, 1 Ge 2.52
Ca 0.0000 0.0000 0.0000  8 Ge 3.28, 4 Pd 3.33, 4 Cu 3.33
Pd 0.7500 0.2500 0.5000  4 Ge 2.50

Values from the calculation:
Total magnetization (μB/atom): 0.0000
Calculated formation energy (eV/atom): -0.53
Calculated volume (Å³ per atom): 18.66
VASP energy (eV per atom): -4.639

=====

Entry 5:
Material: Ca2CuGePd6
Method: DFT, PBE-GGA
State: relaxed

abc: 6.6540 6.6540 6.6540
angles: 60.00 60.00 90.00
Closest atoms and distances in Å follow each position.
Fractional positions:
Pd 0.2525 0.2525 0.0000  1 Ge 2.33, 1 Cu 2.38
Pd 0.2525 0.2525 0.4951  1 Ge 2.33, 1 Cu 2.38
Ge 0.5000 0.5000 0.0000  6 Pd 2.33
Pd 0.7476 0.2524 0.0000  1 Ge 2.33, 1 Cu 2.38
Cu 0.0000 0.0000 0.0000  6 Pd 2.38
Ca 0.2500 0.7500 0.5000  12 Pd 3.33
Pd 0.7475 0.7475 0.5049  1 Ge 2.33, 1 Cu 2.38
Pd 0.2524 0.7476 0.0000  1 Ge 2.33, 1 Cu 2.38
Ca 0.7500 0.2500 0.5000  12 Pd 3.33
Pd 0.7475 0.7475 0.0000  1 Ge 2.33, 1 Cu 2.38

Values from the calculation:
Total magnetization (μB/atom): 0.0000
Calculated formation energy (eV/atom): -0.25
Calculated volume (Å³ per atom): 20.83
VASP energy (eV per atom): -4.636

=====

Entry 6:
Material: Ca2CuGe4Pd3
Method: DFT, PBE-GGA
State: relaxed

abc: 4.2698 4.2698 10.4550
angles: 90.00 90.00 90.00
Closest atoms and distances in Å follow each position.
Fractional positions:
Pd 0.0000 0.5000 0.1354  5 Ge 2.50-2.56
Ca 0.0000 0.5000 0.7469  6 Pd 3.26-3.35, 8 Ge 3.27-3.40, 2 Cu 3.35
Cu 0.5000 0.5000 0.5000  4 Ge 2.51
Ge 0.5000 0.0000 0.6258  3 Pd 2.50-2.51, 2 Cu 2.51
Ge 0.5000 0.5000 0.0000  4 Pd 2.56
Ge 0.0000 0.0000 0.0000  4 Pd 2.56
Pd 0.5000 0.0000 0.8646  5 Ge 2.50-2.56
Ca 0.5000 0.0000 0.2531  6 Pd 3.26-3.35, 8 Ge 3.27-3.40, 2 Cu 3.35
Pd 0.0000 0.0000 0.5000  4 Ge 2.51
Ge 0.0000 0.5000 0.3742  3 Pd 2.50-2.51, 2 Cu 2.51

Values from the calculation:
Total magnetization (μB/atom): 0.0000
Calculated formation energy (eV/atom): -0.59
Calculated volume (Å³ per atom): 19.06
VASP energy (eV per atom): -4.809

=====

Entry 7:
Material: Ca3CuGe2Pd9
Method: DFT, PBE-GGA
State: relaxed

abc: 7.4270 7.4270 6.4912
angles: 90.00 90.00 120.00
Closest atoms and distances in Å follow each position.
Fractional positions:
Pd 0.0000 0.5000 0.0000  2 Ge 2.40
Pd 0.8300 0.6599 0.6603  1 Ge 2.38, 1 Cu 2.42
Pd 0.1700 0.8300 0.3397  1 Ge 2.38, 1 Cu 2.42
Pd 0.5000 0.5000 0.0000  2 Ge 2.40
Pd 0.8300 0.1700 0.6603  1 Ge 2.38, 1 Cu 2.42
Ge 0.3333 0.6667 0.1674  6 Pd 2.38-2.40
Pd 0.5000 0.0000 0.0000  2 Ge 2.40
Pd 0.3401 0.1700 0.6603  1 Ge 2.38, 1 Cu 2.42
Pd 0.6599 0.8300 0.3397  1 Ge 2.38, 1 Cu 2.42
Cu 0.0000 0.0000 0.5000  6 Pd 2.42
Ca 0.0000 0.0000 0.0000  6 Pd 3.11, 2 Cu 3.25
Ge 0.6667 0.3333 0.8326  6 Pd 2.38-2.40
Pd 0.1700 0.3401 0.3397  1 Ge 2.38, 1 Cu 2.42
Ca 0.6667 0.3333 0.3324  6 Pd 2.99-3.04, 2 Ge 3.24-3.25
Ca 0.3333 0.6667 0.6676  6 Pd 2.99-3.04, 2 Ge 3.24-3.25

Values from the calculation:
Total magnetization (μB/atom): 0.0000
Calculated formation energy (eV/atom): -0.35
Calculated volume (Å³ per atom): 20.67
VASP energy (eV per atom): -4.754

=====

Entry 8:
Material: Ca3Cu2GePd9
Method: DFT, PBE-GGA
State: relaxed

abc: 6.5189 6.5189 8.6089
angles: 90.00 90.00 120.00
Closest atoms and distances in Å follow each position.
Fractional positions:
Pd 0.1393 0.8607 0.2851  1 Cu 2.35, 1 Ge 2.43
Pd 0.0000 0.5000 0.0000  2 Cu 2.48
Ca 0.3333 0.6667 0.7072  9 Pd 3.15-3.27
Pd 0.8607 0.7215 0.7149  1 Cu 2.35, 1 Ge 2.43
Cu 0.3333 0.6667 0.1878  6 Pd 2.35-2.48
Ge 0.0000 0.0000 0.5000  6 Pd 2.43
Pd 0.2785 0.1393 0.7149  1 Cu 2.35, 1 Ge 2.43
Pd 0.1393 0.2785 0.2851  1 Cu 2.35, 1 Ge 2.43
Ca 0.6667 0.3333 0.2928  9 Pd 3.15-3.27
Cu 0.6667 0.3333 0.8122  6 Pd 2.35-2.48
Pd 0.5000 0.0000 0.0000  2 Cu 2.48
Pd 0.5000 0.5000 0.0000  2 Cu 2.48
Pd 0.7215 0.8607 0.2851  1 Cu 2.35, 1 Ge 2.43
Ca 0.0000 0.0000 0.0000  12 Pd 2.92-3.26
Pd 0.8607 0.1393 0.7149  1 Cu 2.35, 1 Ge 2.43

Values from the calculation:
Total magnetization (μB/atom): 0.0000
Calculated formation energy (eV/atom): -0.25
Calculated volume (Å³ per atom): 21.12
VASP energy (eV per atom): -4.618

=====

Entry 9:
Material: CaCu4Ge2Pd
Method: DFT, PBE-GGA
State: relaxed

abc: 4.1093 4.1093 9.4197
angles: 77.40 77.40 60.00
Closest atoms and distances in Å follow each position.
Fractional positions:
Cu 0.8772 0.8772 0.3683  3 Ge 2.55, 3 Pd 2.66, 3 Cu 2.73
Ge 0.7550 0.7550 0.7349  6 Cu 2.41-2.55
Cu 0.5932 0.5932 0.2204  3 Ge 2.41, 1 Pd 2.55
Ge 0.2450 0.2450 0.2651  6 Cu 2.41-2.55
Cu 0.4068 0.4068 0.7796  3 Ge 2.41, 1 Pd 2.55
Cu 0.1228 0.1228 0.6317  3 Ge 2.55, 3 Pd 2.66, 3 Cu 2.73
Ca 0.0000 0.0000 0.0000  8 Cu 3.11-3.36, 6 Ge 3.39
Pd 0.5000 0.5000 0.5000  8 Cu 2.55-2.66

Values from the calculation:
Total magnetization (μB/atom): 0.0000
Calculated formation energy (eV/atom): -0.12
Calculated volume (Å³ per atom): 16.66
VASP energy (eV per atom): -4.225

=====

Entry 10:
Material: CaPm2Cu2Ge2
Method: DFT, PBE-GGA
State: relaxed

abc: 4.3513 4.3513 10.0592
angles: 77.51 77.51 60.00
Closest atoms and distances in Å follow each position.
Fractional positions:
Ca 0.0000 0.0000 0.0000  6 Cu 3.18, 6 Ge 3.25
Cu 0.6001 0.6001 0.1998  3 Ge 2.51
Cu 0.3999 0.3999 0.8002  3 Ge 2.51
Ge 0.2627 0.2627 0.2118  3 Cu 2.51
Pm 0.1246 0.1246 0.6262  3 Ge 2.97, 3 Cu 3.03
Ge 0.7373 0.7373 0.7882  3 Cu 2.51
Pm 0.8754 0.8754 0.3738  3 Ge 2.97, 3 Cu 3.03

Values from the calculation:
Total magnetization (μB/atom): 0.0000
Calculated formation energy (eV/atom): -0.46
Calculated volume (Å³ per atom): 22.82
VASP energy (eV per atom): -4.594

=====

Entry 11:
Material: CaPmCu2Ge2
Method: DFT, PBE-GGA
State: relaxed

abc: 4.2389 4.2389 7.9901
angles: 90.00 90.00 120.00
Closest atoms and distances in Å follow each position.
Fractional positions:
Ge 0.6667 0.3333 0.7434  3 Cu 2.45
Pm 0.0000 0.0000 0.5000  6 Ge 3.13, 6 Cu 3.17
Cu 0.3333 0.6667 0.7516  3 Ge 2.45
Ge 0.3333 0.6667 0.2566  3 Cu 2.45
Ca 0.0000 0.0000 0.0000  6 Cu 3.15, 6 Ge 3.19
Cu 0.6667 0.3333 0.2484  3 Ge 2.45

Values from the calculation:
Total magnetization (μB/atom): 0.0000
Calculated formation energy (eV/atom): -0.57
Calculated volume (Å³ per atom): 20.72
VASP energy (eV per atom): -4.599

=====

Entry 12:
Material: CaPrCu2Ge2
Method: DFT, PBE-GGA
State: relaxed

abc: 4.2529 4.2529 8.0905
angles: 90.00 90.00 120.00
Closest atoms and distances in Å follow each position.
Fractional positions:
Cu 0.6667 0.3333 0.2567  3 Ge 2.46
Ge 0.6667 0.3333 0.7527  3 Cu 2.46
Ge 0.3333 0.6667 0.2473  3 Cu 2.46
Pr 0.0000 0.0000 0.0000  6 Ge 3.17, 6 Cu 3.22
Ca 0.0000 0.0000 0.5000  6 Cu 3.15, 6 Ge 3.20
Cu 0.3333 0.6667 0.7433  3 Ge 2.46

Values from the calculation:
Total magnetization (μB/atom): 0.0000
Calculated formation energy (eV/atom): -0.56
Calculated volume (Å³ per atom): 21.12
VASP energy (eV per atom): -4.595

=====

Copy entry 11 word for word.
Material: CaPmCu2Ge2
Method: DFT, PBE-GGA
State: relaxed

abc: 4.2389 4.2389 7.9901
angles: 90.00 90.00 120.00
Closest atoms and distances in Å follow each position.
Fractional positions:
Ge 0.6667 0.3333 0.7434  3 Cu 2.45
Pm 0.0000 0.0000 0.5000  6 Ge 3.13, 6 Cu 3.17
Cu 0.3333 0.6667 0.7516  3 Ge 2.45
Ge 0.3333 0.6667 0.2566  3 Cu 2.45
Ca 0.0000 0.0000 0.0000  6 Cu 3.15, 6 Ge 3.19
Cu 0.6667 0.3333 0.2484  3 Ge 2.45

Values from the calculation:
Total magnetization (μB/atom): 0.0000
Calculated formation energy (eV/atom): -0.57
Calculated volume (Å³ per atom): 20.72
VASP energy (eV per atom): -4.599